[1]
Computed, not measured: CaPPd3 after structural relaxation at the GGA-PBEsol level of DFT.

Unit cell a=4.5194 b=4.5194 c=4.5194 alpha=90.00 beta=90.00 gamma=90.00
Last column: nearest neighbours and their distance in Å.
Fractional coordinates of all 5 atoms:
Ca: 0.0000 0.0000 0.0000  12 Pd 3.20
P: 0.5000 0.5000 0.5000  6 Pd 2.26
Pd: 0.0000 0.5000 0.5000  2 P 2.26
Pd: 0.5000 0.0000 0.5000  2 P 2.26
Pd: 0.5000 0.5000 0.0000  2 P 2.26

Output
formation energy: -0.662 eV/atom
calculated volume: 18.5 A^3/atom
total magnetization: 0.00 μB per cell
space group: Pm-3m



[2]
Computed, not measured: Co3SiSn after structural relaxation at the GGA-PBEsol level of DFT.

Unit cell a=4.5541 b=4.5541 c=4.5541 alpha=90.00 beta=90.00 gamma=90.00
Last column: nearest neighbours and their distance in Å.
Fractional coordinates of all 5 atoms:
Co: 0.0000 0.0000 0.5000  2 Sn 2.28
Co: 0.0000 0.5000 0.0000  2 Sn 2.28
Co: 0.5000 0.0000 0.0000  2 Sn 2.28
Si: 0.5000 0.5000 0.5000  12 Co 3.22
Sn: 0.0000 0.0000 0.0000  6 Co 2.28

Output
calculated volume: 18.9 A^3/atom
E_form (uncorrected): 8.1 eV/f.u.
total magnetization: 3.97 μB per cell
space group: Pm-3m